Entry 1:
# Na2YHo3Te6

A relaxed structure of Na2YHo3Te6 (PBE, the Alexandria database).

Properties
E (eV/cell): -114.6
Formation energy without anion corrections (meV/atom): -1299

```
data_Na2YHo3Te6
_symmetry_space_group_name_H-M 'C 1 2/m 1'
_symmetry_Int_Tables_number 12
_cell_length_a 7.585
_cell_length_b 13.125
_cell_length_c 7.690
_cell_angle_alpha 90.00
_cell_angle_beta 109.15
_cell_angle_gamma 90.00
loop_
_symmetry_equiv_pos_as_xyz
'x,y,z'
'-x,-y,-z'
'-x,y,-z'
'x,-y,z'
'x+1/2,y+1/2,z'
'-x+1/2,-y+1/2,-z'
'-x+1/2,y+1/2,-z'
'x+1/2,-y+1/2,z'
loop_
_atom_site_label
_atom_site_type_symbol
_atom_site_fract_x
_atom_site_fract_y
_atom_site_fract_z
Na1 Na 0.000 0.166 0.000
Y1 Y 0.000 0.500 0.000
Ho1 Ho 0.000 0.000 0.500
Ho2 Ho 0.000 0.331 0.500
Te1 Te 0.244 0.500 0.742
Te2 Te 0.250 0.165 0.746
```



Entry 2:
# Na4Y3HoTe8

A relaxed structure of Na4Y3HoTe8 (PBE, the Alexandria database).

Properties
E (eV/cell): -226.8
Formation energy without anion corrections (meV/atom): -1326

```
data_Na4Y3HoTe8
_symmetry_space_group_name_H-M 'R -3 m'
_symmetry_Int_Tables_number 166
_symmetry_space_group_name_Hall '-R 3 2"'
_cell_length_a 8.8511
_cell_length_b 8.8511
_cell_length_c 22.7026
_cell_angle_alpha 90.00
_cell_angle_beta 90.00
_cell_angle_gamma 120.00
loop_
_atom_site_label
_atom_site_type_symbol
_atom_site_fract_x
_atom_site_fract_y
_atom_site_fract_z
Na1 Na 0.0000 0.0000 0.0000
Na2 Na 0.0000 0.5000 0.0000
Y1 Y 0.0000 0.5000 0.5000
Ho1 Ho 0.0000 0.0000 0.5000
Te1 Te 0.0000 0.0000 0.2442
Te2 Te 0.0012 0.5006 0.2439
```



Entry 3:
# Na3Y2HoTe6

A relaxed structure of Na3Y2HoTe6 (PBE, the Alexandria database).

Properties
E (eV/cell): -112.4
Formation energy without anion corrections (meV/atom): -1325

```
data_Na3Y2HoTe6
_symmetry_space_group_name_H-M 'C 1 2/m 1'
_symmetry_Int_Tables_number 12
_cell_length_a 7.662
_cell_length_b 13.271
_cell_length_c 7.988
_cell_angle_alpha 90.00
_cell_angle_beta 108.65
_cell_angle_gamma 90.00
loop_
_symmetry_equiv_pos_as_xyz
'x,y,z'
'-x,-y,-z'
'-x,y,-z'
'x,-y,z'
'x+1/2,y+1/2,z'
'-x+1/2,-y+1/2,-z'
'-x+1/2,y+1/2,-z'
'x+1/2,-y+1/2,z'
loop_
_atom_site_label
_atom_site_type_symbol
_atom_site_fract_x
_atom_site_fract_y
_atom_site_fract_z
Na1 Na 0.000 0.000 0.000
Na2 Na 0.000 0.333 0.000
Y1 Y 0.000 0.167 0.500
Ho1 Ho 0.000 0.500 0.500
Te1 Te 0.243 0.334 0.732
Te2 Te 0.245 0.000 0.732
```



Entry 4:
# Na3YHo2Te6

A relaxed structure of Na3YHo2Te6 (PBE, the Alexandria database).

Properties
E (eV/cell): -108.5
Formation energy without anion corrections (meV/atom): -1317

```
data_Na3YHo2Te6
_symmetry_space_group_name_H-M 'C 1 2/m 1'
_symmetry_Int_Tables_number 12
_cell_length_a 7.651
_cell_length_b 13.253
_cell_length_c 7.985
_cell_angle_alpha 90.00
_cell_angle_beta 108.63
_cell_angle_gamma 90.00
loop_
_symmetry_equiv_pos_as_xyz
'x,y,z'
'-x,-y,-z'
'-x,y,-z'
'x,-y,z'
'x+1/2,y+1/2,z'
'-x+1/2,-y+1/2,-z'
'-x+1/2,y+1/2,-z'
'x+1/2,-y+1/2,z'
loop_
_atom_site_label
_atom_site_type_symbol
_atom_site_fract_x
_atom_site_fract_y
_atom_site_fract_z
Na1 Na 0.000 0.000 0.000
Na2 Na 0.000 0.334 0.000
Y1 Y 0.000 0.500 0.500
Ho1 Ho 0.000 0.167 0.500
Te1 Te 0.242 0.000 0.731
Te2 Te 0.244 0.333 0.732
```



Entry 5:
# Na2YHoTe4

A relaxed structure of Na2YHoTe4 (PBE, the Alexandria database).

Properties
E (eV/cell): -36.8
Formation energy without anion corrections (meV/atom): -1321

```
data_Na2YHoTe4
_symmetry_space_group_name_H-M 'P 1 2/m 1'
_symmetry_Int_Tables_number 10
_cell_length_a 7.653
_cell_length_b 4.421
_cell_length_c 7.992
_cell_angle_alpha 90.00
_cell_angle_beta 108.64
_cell_angle_gamma 90.00
loop_
_symmetry_equiv_pos_as_xyz
'x,y,z'
'-x,-y,-z'
'-x,y,-z'
'x,-y,z'
loop_
_atom_site_label
_atom_site_type_symbol
_atom_site_fract_x
_atom_site_fract_y
_atom_site_fract_z
Na1 Na 0.000 0.000 0.000
Na2 Na 0.500 0.500 0.000
Y1 Y 0.000 0.500 0.500
Ho1 Ho 0.500 0.000 0.500
Te1 Te 0.245 0.000 0.732
Te2 Te 0.257 0.500 0.269
```



Entry 6:
# Na3YHo3Te8

A relaxed structure of Na3YHo3Te8 (PBE, the Alexandria database).

Properties
E (eV/cell): -204.1
Formation energy without anion corrections (meV/atom): -1251

```
data_Na3YHo3Te8
_symmetry_space_group_name_H-M 'R -3 m'
_symmetry_Int_Tables_number 166
_symmetry_space_group_name_Hall '-R 3 2"'
_cell_length_a 8.7025
_cell_length_b 8.7025
_cell_length_c 23.0605
_cell_angle_alpha 90.00
_cell_angle_beta 90.00
_cell_angle_gamma 120.00
loop_
_atom_site_label
_atom_site_type_symbol
_atom_site_fract_x
_atom_site_fract_y
_atom_site_fract_z
Na1 Na 0.0000 0.5000 0.0000
Y1 Y 0.0000 0.0000 0.5000
Ho1 Ho 0.0000 0.5000 0.5000
Te1 Te 0.0000 0.0000 0.2440
Te2 Te 0.0037 0.5019 0.7561
```



Computed spin magnetization, in the same sequence as the records: 0.0, 0.0, 0.0, 0.0, 0.0, 0.0 μB/cell.
Computed calculated volume, in the same sequence as the records: 30.1, 32.1, 32.1, 32.0, 32.0, 33.6 A^3/atom.